VASP calculation (GGA+U) on a relaxed LiNiBO3 crystal.

Values from the calculation:
Crystal system: monoclinic
Symmetry: P2_1/c
ΔE to the lowest computed polymorph (kJ per mole of atoms): 4.93
Energy (eV per cell): -149.44
D(E_F) (states/eV/atom): 0.0000

abc: 5.6941 7.4661 7.7200
angles: 90.00 131.57 90.00
Sites, in units of the cell vectors:
Li1 0.0422 0.1284 0.1257
Li2 0.0422 0.3716 0.6257
Li3 0.9578 0.6284 0.3743
Li4 0.9578 0.8716 0.8743
Ni1 0.3415 0.5246 0.1032
Ni2 0.3415 0.9754 0.6032
Ni3 0.6585 0.0246 0.3968
Ni4 0.6585 0.4754 0.8968
B1 0.2807 0.1556 0.9080
B2 0.2807 0.3444 0.4080
B3 0.7193 0.6556 0.5920
B4 0.7193 0.8444 0.0920
O1 0.0923 0.1105 0.6725
O2 0.0923 0.3895 0.1725
O3 0.2908 0.0431 0.0536
O4 0.2908 0.4569 0.5536
O5 0.4228 0.1765 0.4733
O6 0.4228 0.3235 0.9733
O7 0.5772 0.6765 0.0267
O8 0.5772 0.8235 0.5267
O9 0.7091 0.5431 0.4464
O10 0.7091 0.9569 0.9464
O11 0.9077 0.6105 0.8275
O12 0.9077 0.8895 0.3275